# MgMn2TeO6

An optimized crystal structure of MgMn2TeO6 (GGA+U, Alexandria).

Calculated values
- raw total energy (eV per formula unit) = -66.233
- V (Å³/atom) = 11.7

Cell: 5.3682 5.3683 5.6034 Å, 61.38 61.38 60.00°
With the nearest neighbours (Å) after each atom.
Atoms (fractional coordinates):
Te1 0.3200 0.3200 0.0401  6 O 1.95-1.97
Mg1 0.8110 0.8110 0.5669  6 O 2.07-2.21
O1 0.6798 0.1069 0.7764  1 Te 1.97, 1 Mg 2.07, 1 Mn 2.13
O2 0.1981 0.9646 0.2590  1 Te 1.95, 1 Mn 2.15
O3 0.4370 0.6798 0.7764  1 Te 1.97, 1 Mg 2.07, 1 Mn 2.13
Mn1 0.5354 0.5354 0.3938  6 O 2.15-2.36
O4 0.5783 0.1981 0.2590  1 Te 1.95, 1 Mn 2.15
O5 0.9646 0.5783 0.2590  1 Te 1.95, 1 Mn 2.15
O6 0.1068 0.4370 0.7764  1 Te 1.97, 1 Mg 2.07, 1 Mn 2.13
Mn2 0.0305 0.0306 0.9083  6 O 2.13-2.35